Density functional theory data (PBE with a Hubbard U) for a relaxed structure of MnH12S2N2O10.

Calculated values
DFT total energy, eV per atom: -5.55
Calculated density, g/cm³: 1.98
Symmetry: P2_1/c

a b c (Å): 6.3753 5.4245 15.5054
angles (deg): 90.00 94.80 90.00
Sites, in units of the cell vectors:
1 Mn 0.0000 0.0000 0.0000
2 Mn 0.0000 0.5000 0.5000
3 H 0.1106 0.1111 0.2966
4 H 0.1106 0.3889 0.7966
5 H 0.2173 0.5697 0.0436
6 H 0.2173 0.9303 0.5436
7 H 0.2221 0.7218 0.1314
8 H 0.2221 0.7782 0.6314
9 H 0.2929 0.1787 0.4356
10 H 0.2929 0.3213 0.9356
11 H 0.3692 0.1074 0.2846
12 H 0.3692 0.3926 0.7846
13 H 0.3901 0.2288 0.0316
14 H 0.3901 0.2712 0.5316
15 H 0.6099 0.7288 0.4684
16 H 0.6099 0.7712 0.9684
17 H 0.6308 0.6074 0.2154
18 H 0.6308 0.8926 0.7154
19 H 0.7071 0.6787 0.0644
20 H 0.7071 0.8213 0.5644
21 H 0.7779 0.2218 0.3686
22 H 0.7779 0.2782 0.8686
23 H 0.7827 0.0697 0.4564
24 H 0.7827 0.4303 0.9564
25 H 0.8894 0.6111 0.2034
26 H 0.8894 0.8889 0.7034
27 S 0.2521 0.7417 0.3273
28 S 0.2521 0.7583 0.8273
29 S 0.7479 0.2417 0.1727
30 S 0.7479 0.2583 0.6727
31 N 0.2556 0.0520 0.3237
32 N 0.2556 0.4480 0.8237
33 N 0.7444 0.5520 0.1763
34 N 0.7444 0.9480 0.6763
35 O 0.0776 0.6878 0.3809
36 O 0.0776 0.8122 0.8809
37 O 0.2071 0.6429 0.2392
38 O 0.2071 0.8571 0.7392
39 O 0.2117 0.7392 0.0677
40 O 0.2117 0.7608 0.5677
41 O 0.2608 0.2210 0.4960
42 O 0.2608 0.2790 0.9960
43 O 0.4606 0.6715 0.3655
44 O 0.4606 0.8285 0.8655
45 O 0.5394 0.1715 0.1345
46 O 0.5394 0.3285 0.6345
47 O 0.7392 0.7210 0.0040
48 O 0.7392 0.7790 0.5040
49 O 0.7883 0.2392 0.4323
50 O 0.7883 0.2608 0.9323
51 O 0.7929 0.1429 0.2608
52 O 0.7929 0.3571 0.7608
53 O 0.9224 0.1878 0.1191
54 O 0.9224 0.3122 0.6191